This record from Alexandria describes a relaxed structure of LaCd2Ir. The functional is PBE.

Computed properties:
DFT formation energy	-0.23	eV per formula unit

Unit cell a=7.0938 b=7.0938 c=7.0938 alpha=90.00 beta=90.00 gamma=90.00
Space group Fm-3m (No. 225)
Asymmetric unit:
La: 0.0000 0.0000 0.0000 [4 per cell]
Cd: 0.2500 0.2500 0.2500 [8 per cell]
Ir: 0.0000 0.0000 0.5000 [4 per cell]